[1]
First-principles (GGA-PBE) data for a geometry-optimized Tb2Ho4TmMg structure, as listed in Alexandria.

Cell and atoms, written as extended XYZ:
```
8
Lattice="4.929 0.000 0.000 0.000 4.941 0.000 0.000 0.000 9.933" Properties=species:S:1:pos:R:3 pbc="T T T"
Tb 0.000 0.000 0.000
Tb 2.465 2.471 4.967
Ho 0.000 2.471 2.478
Ho 0.000 2.471 7.456
Ho 2.465 0.000 2.480
Ho 2.465 0.000 7.453
Tm 0.000 0.000 4.967
Mg 2.465 2.471 0.000
```

E_tot in eV/atom: -4.1802
Space group: Pmmm (47)


[2]
First-principles (GGA-PBE) data for a geometry-optimized CrReRu2 structure, as listed in Alexandria.

Cell and atoms, written as extended XYZ:
```
4
Lattice="4.447 -1.354 0.000 4.447 1.354 0.000 -0.887 0.000 4.583" Properties=species:S:1:pos:R:3 pbc="T T T"
Cr 0.000 0.000 0.000
Re 1.627 0.000 3.348
Ru 4.007 0.000 2.245
Ru 6.483 0.000 1.008
```

E_tot in eV/atom: -10.0527
Distance to the lowest polymorph of the same formula in eV per atom: 0.036
Space group: Cm (8)


[3]
First-principles (GGA-PBE) data for a geometry-optimized LiSn2Pt structure, as listed in Alexandria.

Cell and atoms, written as extended XYZ:
```
4
Lattice="2.221 1.283 5.063 -2.221 1.283 5.063 0.000 -2.565 5.063" Properties=species:S:1:pos:R:3 pbc="T T T"
Li 0.000 0.000 0.000
Sn 0.000 0.000 8.741
Sn 0.000 0.000 11.801
Pt 0.000 0.000 2.737
```

E_tot in eV/atom: -4.4932
Space group: R3m (160)


[4]
First-principles (GGA-PBE) data for a geometry-optimized Th3ScNi8 structure, as listed in Alexandria.

Cell and atoms, written as extended XYZ:
```
12
Lattice="2.556 1.476 8.400 -2.556 1.476 8.400 0.000 -2.951 8.400" Properties=species:S:1:pos:R:3 pbc="T T T"
Th 0.000 0.000 0.000
Th 0.000 0.000 3.222
Th 0.000 0.000 15.525
Sc 0.000 0.000 12.435
Ni 0.000 -1.486 5.676
Ni -1.287 0.743 5.676
Ni -1.273 -0.735 9.951
Ni 0.000 0.000 7.829
Ni 1.287 0.743 5.676
Ni 1.273 -0.735 9.951
Ni 0.000 1.469 9.951
Ni 0.000 0.000 20.425
```

E_tot in eV/atom: -6.6296
Space group: R3m (160)


[5]
First-principles (GGA-PBE) data for a geometry-optimized NbNiIrPd structure, as listed in Alexandria.

Cell and atoms, written as extended XYZ:
```
4
Lattice="0.000 3.100 3.100 3.100 0.000 3.100 3.100 3.100 0.000" Properties=species:S:1:pos:R:3 pbc="T T T"
Nb 0.000 0.000 0.000
Ni 3.100 3.100 3.100
Ir 4.650 4.650 4.650
Pd 1.550 1.550 1.550
```

E_tot in eV/atom: -7.6828
Space group: F-43m (216)


[6]
First-principles (GGA-PBE) data for a geometry-optimized NaSi2PdO6 structure, as listed in Alexandria.

Cell and atoms, written as extended XYZ:
```
20
Lattice="5.209 -4.741 0.000 5.209 4.741 0.000 -1.773 0.000 5.096" Properties=species:S:1:pos:R:3 pbc="T T T"
Na 3.879 3.834 3.822
Na 4.765 -3.834 1.274
Si 1.529 0.837 4.244
Si 2.415 -0.837 1.696
Si 6.229 0.837 3.400
Si 7.115 -0.837 0.852
Pd 4.765 2.185 1.274
Pd 3.879 -2.185 3.822
O 0.093 1.009 3.510
O 2.417 2.185 4.438
O 0.979 -1.009 0.962
O 3.247 0.258 0.728
O 2.360 -0.258 3.276
O 5.341 2.185 3.206
O 3.303 -2.185 1.890
O 6.284 0.258 1.820
O 5.397 -0.258 4.368
O 7.665 1.009 4.134
O 6.228 -2.185 0.658
O 8.551 -1.009 1.586
```

Formation energy (no corrections) in eV per atom: -1.92
E_tot in eV/atom: -6.6263
Space group: C2/c (15)